1.
Material: CaAuN2
Method: DFT, meta-GGA SCAN
State: single point on PBEsol structure

It has space group Fm-3m (No. 225), with a = 5.8227 Å, b = 5.8227 Å, c = 5.8227 Å, α = 90.00°, β = 90.00° and γ = 90.00°. The distinct sites, in fractional coordinates, are Ca at (0.0000, 0.0000, 0.0000), Au at (0.0000, 0.0000, 0.5000) and N at (0.2500, 0.2500, 0.2500).

The calculation puts the formation energy from raw total energies at 731 meV/atom. For the calculated density, the calculation gives 8.92 g/cm³. Its offset from the most stable computed form is 231.3 meV per atom.

***

2.
Material: Ca5Au2N4
Method: DFT, meta-GGA SCAN
State: single point on PBEsol structure

It has space group P4/ncc (No. 130, origin choice 2), with a = 7.9057 Å, b = 7.9057 Å, c = 12.9499 Å, α = 90.00°, β = 90.00° and γ = 90.00°. The distinct sites, in fractional coordinates, are Ca at (0.0756, 0.6345, 0.0857), Ca at (0.2500, 0.2500, 0.1324), Au at (0.0931, 0.5931, 0.7500) and N at (0.0503, 0.6390, 0.9044).

The calculation puts the formation energy from raw total energies at -883 meV/atom. For the calculated density, the calculation gives 5.34 g/cm³.